# 1
An optimized crystal structure of ZnTeI2Br. Source: Alexandria via LeMat-Bulk, functional PBE-GGA.

Calculated values
The calculation puts the uncorrected formation energy at 0.595 eV/atom. As for the offset from the most stable computed form: 373.4 meV/atom. Its uncorrected energy is -6.21 eV per cell. For the total magnetization, the calculation gives 0.000 Bohr magnetons per cell. The value obtained for the density of states at the Fermi level is 4.34 states/eV/cell.

Cell lengths 5.939, 5.939, 5.661 Å; angles 90.00, 90.00, 90.00 degrees
Space group P4/mmm (No. 123)
Inequivalent atoms, fractional coordinates:
1 Zn 0.000 0.000 0.000 (multiplicity 1)
2 Te 0.500 0.500 0.000 (multiplicity 1)
3 I 0.000 0.500 0.500 (multiplicity 2)
4 Br 0.500 0.500 0.500 (multiplicity 1)

# 2
An optimized crystal structure of TbCeIr2. Source: Alexandria via LeMat-Bulk, functional PBE-GGA.

Calculated values
The calculated formation energy is -0.799 eV per atom. Its uncorrected energy is -62.96 eV per cell. For the total magnetization, the calculation gives 0.000 Bohr magnetons per cell. The value obtained for the density of states at the Fermi level is 5.44 states/eV/cell.

Cell lengths 4.175, 3.875, 10.795 Å; angles 90.00, 90.00, 90.00 degrees
Space group Amm2 (No. 38)
Inequivalent atoms, fractional coordinates:
1 Tb 0.000 0.000 0.000 (multiplicity 2)
2 Ce 0.500 0.000 0.717 (multiplicity 2)
3 Ir 0.000 0.000 0.270 (multiplicity 2)
4 Ir 0.500 0.000 0.450 (multiplicity 2)